Entry from Alexandria: crystalline LiLa3Ru at its relaxed geometry (PBE).

a = 7.7529 Å, b = 6.1647 Å, c = 7.7563 Å
α = 94.62°, β = 119.87°, γ = 85.30°
Closest atoms and distances in Å follow each position.
Sites, in units of the cell vectors:
1 Ru 0.1507 0.6783 0.7768  6 La 2.81, 2 Ru 3.08
2 Ru 0.1507 0.1783 0.7768  6 La 2.80-2.82, 2 Ru 3.08
3 Li 0.8114 0.9273 0.1167  5 La 3.45-3.81
4 La 0.7996 0.9456 0.6023  2 Ru 2.81-2.82
5 La 0.9751 0.4627 0.9517  2 Ru 2.80-2.81
6 La 0.9765 0.4117 0.4258  2 Ru 2.81-2.82
7 La 0.3264 0.8939 0.6019  2 Ru 2.80-2.81
8 La 0.3251 0.9448 0.1277  2 Ru 2.81-2.82
9 La 0.5018 0.4109 0.9512  2 Ru 2.81-2.82
10 Li 0.4900 0.4285 0.4369  5 La 3.45-3.81

Polymorph energy (0 for the lowest one) ... 21 meV per atom
Crystal system ... monoclinic
DFT total energy ... -26.7 eV/f.u.
Spin magnetization ... 0.0 μB per cell
Density ... 5.4 g/cm³
ΔH_f (0 K) ... -0.145 eV per atom

Entry from Alexandria: crystalline Li2LaRu at its relaxed geometry (PBE).

a = 5.1380 Å, b = 3.3807 Å, c = 4.7508 Å
α = 80.59°, β = 90.00°, γ = 90.00°
Closest atoms and distances in Å follow each position.
Sites, in units of the cell vectors:
1 Li 0.0000 0.0562 0.0571  2 Li 2.42-2.53
2 La 0.5000 0.7500 0.7500  2 Ru 2.68
3 Ru 0.5000 0.2500 0.2500  2 La 2.68, 4 Li 2.84
4 Li 0.0000 0.4438 0.4429  2 Li 2.42-2.53

Polymorph energy (0 for the lowest one) ... 103 meV per atom
Crystal system ... monoclinic
DFT total energy ... -17.7 eV/f.u.
Spin magnetization ... 0.0 μB per cell
Density ... 5.2 g/cm³
ΔH_f (0 K) ... 0.095 eV per atom

Entry from Alexandria: crystalline LiLaRu at its relaxed geometry (PBE).

a = 5.4085 Å, b = 6.3688 Å, c = 8.3223 Å
α = 113.72°, β = 90.00°, γ = 90.00°
Closest atoms and distances in Å follow each position.
Sites, in units of the cell vectors:
1 Li 0.5720 0.4229 0.8118  3 Ru 2.76-2.89, 1 Li 2.99
2 Li 0.9280 0.4229 0.3118  3 Ru 2.76-2.89, 1 Li 2.99
3 Ru 0.8439 0.1542 0.4970  1 La 2.48, 1 Ru 2.61, 1 Li 2.76
4 Ru 0.1561 0.8458 0.5030  1 La 2.48, 1 Ru 2.61, 1 Li 2.76
5 Ru 0.6561 0.1542 0.9970  1 La 2.48, 1 Ru 2.61, 1 Li 2.76
6 La 0.9257 0.8214 0.1155  1 Ru 2.48
7 Ru 0.3439 0.8458 0.0030  1 La 2.48, 1 Ru 2.61, 1 Li 2.76
8 Li 0.4280 0.5771 0.1882  3 Ru 2.76-2.89, 1 Li 2.99
9 Li 0.0720 0.5771 0.6882  3 Ru 2.76-2.89, 1 Li 2.99
10 La 0.0743 0.1786 0.8845  1 Ru 2.48
11 La 0.4257 0.1786 0.3845  1 Ru 2.48
12 La 0.5743 0.8214 0.6155  1 Ru 2.48

Polymorph energy (0 for the lowest one) ... 14 meV per atom
Crystal system ... monoclinic
DFT total energy ... -16.3 eV/f.u.
Spin magnetization ... 0.0 μB per cell
Density ... 6.2 g/cm³
ΔH_f (0 K) ... -0.061 eV per atom

Entry from Alexandria: crystalline LiLa3Ru at its relaxed geometry (PBE).

a = 6.3317 Å, b = 6.3317 Å, c = 9.9832 Å
α = 71.51°, β = 71.51°, γ = 90.00°
Closest atoms and distances in Å follow each position.
Sites, in units of the cell vectors:
1 Li 0.9303 0.4303 0.1393  2 Ru 3.40, 6 La 3.61-3.64
2 Ru 0.2500 0.7500 0.5000  8 La 2.89-3.22
3 La 0.2814 0.2814 0.4372  2 Ru 3.22, 2 La 3.41
4 La 0.6304 0.8867 0.2266  2 Ru 2.59-2.89
5 La 0.1430 0.8867 0.2266  2 Ru 2.59-2.89
6 La 0.1133 0.8570 0.7734  2 Ru 2.59-2.89
7 La 0.7186 0.7186 0.5628  2 Ru 3.22, 2 La 3.41
8 La 0.1133 0.3696 0.7734  2 Ru 2.59-2.89
9 Ru 0.0000 0.0000 0.0000  4 La 2.59
10 Li 0.5697 0.0697 0.8607  2 Ru 3.40, 6 La 3.61-3.64

Polymorph energy (0 for the lowest one) ... 438 meV per atom
Crystal system ... tetragonal
DFT total energy ... -24.6 eV/f.u.
Spin magnetization ... 0.0 μB per cell
Density ... 4.9 g/cm³
ΔH_f (0 K) ... 0.272 eV per atom

Entry from Alexandria: crystalline LiLa3Ru at its relaxed geometry (PBE).

a = 6.9758 Å, b = 6.7878 Å, c = 6.7918 Å
α = 90.55°, β = 107.30°, γ = 72.67°
Closest atoms and distances in Å follow each position.
Sites, in units of the cell vectors:
1 La 0.9546 0.3327 0.8485  2 Ru 2.99-3.01, 2 Li 3.16
2 La 0.6748 0.0521 0.4404  1 Ru 2.68
3 La 0.2378 0.9245 0.5680  1 Ru 2.68
4 Ru 0.0398 0.7179 0.7302  4 La 2.68-2.99, 1 Li 2.94
5 Li 0.6592 0.5740 0.4174  2 Ru 2.93-3.27, 3 La 3.16-3.28, 1 Li 3.25
6 La 0.7718 0.8754 0.9801  2 Ru 2.86-2.99
7 Li 0.2536 0.9027 0.0895  2 Ru 2.94-3.27, 3 La 3.16-3.28, 1 Li 3.25
8 La 0.1415 0.4634 0.3924  2 Ru 2.86-2.99
9 Ru 0.8715 0.2156 0.2320  5 La 2.68-2.99, 1 Li 2.93
10 La 0.4549 0.4338 0.9504  2 Ru 2.91

Polymorph energy (0 for the lowest one) ... 48 meV per atom
Crystal system ... triclinic
DFT total energy ... -26.6 eV/f.u.
Spin magnetization ... 0.0 μB per cell
Density ... 6.0 g/cm³
ΔH_f (0 K) ... -0.118 eV per atom

Entry from Alexandria: crystalline LiLa2Ru at its relaxed geometry (PBE).

a = 8.0683 Å, b = 8.0683 Å, c = 6.6141 Å
α = 52.42°, β = 52.42°, γ = 90.00°
Closest atoms and distances in Å follow each position.
Sites, in units of the cell vectors:
1 Ru 0.0000 0.0000 0.0000  4 La 2.71
2 Li 0.2500 0.7500 0.5000  8 La 3.26-3.60, 2 Ru 3.35
3 La 0.3750 0.3245 0.7500  2 Ru 2.71
4 La 0.0745 0.6250 0.2500  2 Ru 2.71
5 Ru 0.7500 0.2500 0.5000  4 La 2.71
6 La 0.6755 0.1250 0.2500  2 Ru 2.71
7 La 0.8750 0.9255 0.7500  2 Ru 2.71
8 Li 0.5000 0.5000 0.0000  8 La 3.26-3.60, 2 Ru 3.35

Polymorph energy (0 for the lowest one) ... 196 meV per atom
Crystal system ... tetragonal
DFT total energy ... -20.8 eV/f.u.
Spin magnetization ... 0.0 μB per cell
Density ... 5.9 g/cm³
ΔH_f (0 K) ... 0.071 eV per atom

What is the formula in the fourth record? LiLa3Ru